First-principles (PBE+U) data for a relaxed structure of Ac2FeSO8, as listed in Alexandria via LeMat-Bulk.

The structure in CIF format:
```
data_Ac2FeSO8
_chemical_formula_sum 'Ac2 Fe1 S1 O8'
_cell_length_a 6.6451
_cell_length_b 6.6451
_cell_length_c 4.8582
_cell_angle_alpha 90.00
_cell_angle_beta 90.00
_cell_angle_gamma 120.00
_symmetry_space_group_name_H-M 'P -3 m 1'
_symmetry_Int_Tables_number 164
_symmetry_space_group_name_Hall '-P 3 2"'
loop_
_atom_site_label
_atom_site_fract_x
_atom_site_fract_y
_atom_site_fract_z
Ac1 0.3333 0.6667 0.2124
Fe1 0.0000 0.0000 0.5000
S1 0.0000 0.0000 0.0000
O1 0.1181 0.2363 0.2038
O2 0.3333 0.6667 0.7091
```

Output
DFT total energy   -6.532 eV/atom
DOS(E_F)   5.8 states/eV/cell